(1)
Here is crystalline Be3ReH at its relaxed geometry from Alexandria. Energies are from GGA-PBEsol.

Output
Energy: -28.5 eV/cell
Calculated volume: 39.91 Å³/cell
Density: 8.91 g cm⁻³
SG: Pm-3m (221)

Cell and atoms, written as POSCAR:
```
Be3ReH
1.0
3.417 0.000 0.000
0.000 3.417 0.000
0.000 0.000 3.417
Be Re H
3 1 1
direct
0.000 0.000 0.500
0.000 0.500 0.000
0.500 0.000 0.000
0.500 0.500 0.500
0.000 0.000 0.000
```

=====

(2)
Here is crystalline Hf2MgScAu at its relaxed geometry from Alexandria. Energies are from GGA-PBEsol.

Output
Energy: -28.4 eV/cell
Calculated volume: 120.50 Å³/cell
Density: 8.59 g cm⁻³
SG: P4/mmm (123)

Cell and atoms, written as POSCAR:
```
Hf2MgScAu
1.0
4.925 0.000 0.000
0.000 4.925 0.000
0.000 0.000 4.968
Hf Mg Sc Au
2 1 1 1
direct
0.000 0.500 0.000
0.500 0.000 0.000
0.000 0.000 0.500
0.500 0.500 0.000
0.500 0.500 0.500
```

=====

(3)
Here is crystalline La2HgH2 at its relaxed geometry from Alexandria. Energies are from GGA-PBEsol.

Output
Energy: -20.9 eV/cell
Calculated volume: 98.90 Å³/cell
Density: 8.07 g cm⁻³
SG: I4/mmm (139)

Cell and atoms, written as POSCAR:
```
La2HgH2
1.0
-1.977 1.977 6.324
1.977 -1.977 6.324
1.977 1.977 -6.324
La Hg H
2 1 2
direct
0.146 0.146 0.000
0.854 0.854 0.000
0.500 0.500 0.000
0.250 0.750 0.500
0.750 0.250 0.500
```

=====

(4)
Here is crystalline AgSbF3 at its relaxed geometry from Alexandria. Energies are from GGA-PBEsol.

Output
Energy above the most stable polymorph in this dataset: 0 meV per atom
Calculated volume: 87.24 Å³/cell
Density: 5.46 g cm⁻³
Formation energy from raw total energies: -1272 meV per atom
SG: Pm-3m (221)

Cell and atoms, written as POSCAR:
```
AgSbF3
1.0
4.435 0.000 0.000
0.000 4.435 0.000
0.000 0.000 4.435
Ag Sb F
1 1 3
direct
0.000 0.000 0.000
0.500 0.500 0.500
0.000 0.500 0.500
0.500 0.000 0.500
0.500 0.500 0.000
```

=====

Q: What is the formula in the third record?
A: La2HgH2

=====

What did the first record say?
Here is crystalline Be3ReH at its relaxed geometry from Alexandria. Energies are from GGA-PBEsol.

Output
Energy: -28.5 eV/cell
Calculated volume: 39.91 Å³/cell
Density: 8.91 g cm⁻³
SG: Pm-3m (221)

Cell and atoms, written as POSCAR:
```
Be3ReH
1.0
3.417 0.000 0.000
0.000 3.417 0.000
0.000 0.000 3.417
Be Re H
3 1 1
direct
0.000 0.000 0.500
0.000 0.500 0.000
0.500 0.000 0.000
0.500 0.500 0.500
0.000 0.000 0.000
```

=====

Q: What is the formula in the third record?
A: La2HgH2